P.
This record from Alexandria via LeMat-Bulk describes a geometry-optimized YAgSe structure. The functional is GGA-PBEsol.

Lattice parameters (Å, degrees): 4.6441 4.6441 4.6441 60.00 60.00 60.00
Sites, in units of the cell vectors:
Y: 0.0000 0.0000 0.0000
Ag: 0.5000 0.5000 0.5000
Se: 0.7500 0.7500 0.7500


Q.
This record from Alexandria via LeMat-Bulk describes a geometry-optimized YAgSe structure. The functional is GGA-PBEsol.

Lattice parameters (Å, degrees): 4.0224 4.0224 5.1293 90.00 90.00 120.00
Sites, in units of the cell vectors:
Y: 0.0000 0.0000 0.0000
Ag: 0.3333 0.6667 0.6230
Se: 0.6667 0.3333 0.3140


The data favor Q; the next most stable structure lies 24.8 kJ/mol of atoms above it.


P.
This record from Alexandria via LeMat-Bulk describes a geometry-optimized SiAg4 structure. The functional is GGA-PBEsol.

Lattice parameters (Å, degrees): 7.3905 7.3905 7.3905 151.35 151.35 40.96
Sites, in units of the cell vectors:
Si: 0.0000 0.0000 0.0000
Ag: 0.2500 0.7500 0.5000
Ag: 0.4049 0.4049 0.0000
Ag: 0.5951 0.5951 0.0000
Ag: 0.7500 0.2500 0.5000


Q.
This record from Alexandria via LeMat-Bulk describes a geometry-optimized SiAg4 structure. The functional is GGA-PBEsol.

Lattice parameters (Å, degrees): 5.4062 5.4062 5.6950 90.00 90.00 90.00
Sites, in units of the cell vectors:
Si: 0.0000 0.0000 0.0000
Si: 0.5000 0.5000 0.5000
Ag: 0.1379 0.2610 0.3422
Ag: 0.2390 0.3621 0.8422
Ag: 0.2610 0.8621 0.6578
Ag: 0.3621 0.7610 0.1578
Ag: 0.6379 0.2390 0.1578
Ag: 0.7390 0.1379 0.6578
Ag: 0.7610 0.6379 0.8422
Ag: 0.8621 0.7390 0.3422


The data favor Q; the next most stable structure lies 36.7 kJ/mol of atoms above it.